No. 1
VASP calculation (SCAN) on a PBEsol-optimized structure of KIn2Re.

Calculated values
ΔE_f, eV/atom: 0.56
E above lowest polymorph, meV/atom: 108
DFT total energy, eV per formula unit: -144.0

abc: 10.530 10.530 10.530
angles: 16.96 16.96 16.96
Fractional coordinates of all 4 atoms:
K 0.000 0.000 0.000
In 0.237 0.237 0.237
In 0.763 0.763 0.763
Re 0.500 0.500 0.500

=====

No. 2
VASP calculation (SCAN) on a PBEsol-optimized structure of KInRe2.

Calculated values
ΔE_f, eV/atom: 1.42
DFT total energy, eV per formula unit: -178.2

abc: 5.767 5.767 2.629
angles: 90.00 90.00 121.88
Fractional coordinates of all 4 atoms:
K 0.000 0.000 0.000
In 0.500 0.500 0.000
Re 0.000 0.500 0.500
Re 0.500 0.000 0.500

=====

No. 3
VASP calculation (SCAN) on a PBEsol-optimized structure of KInRe2.

Calculated values
ΔE_f, eV/atom: 1.60
DFT total energy, eV per formula unit: -177.5

abc: 3.909 3.909 4.860
angles: 90.00 90.00 90.00
Fractional coordinates of all 4 atoms:
K 0.000 0.000 0.000
In 0.500 0.500 0.000
Re 0.000 0.500 0.500
Re 0.500 0.000 0.500

=====

No. 4
VASP calculation (SCAN) on a PBEsol-optimized structure of KIn2Re.

Calculated values
ΔE_f, eV/atom: 0.45
E above lowest polymorph, meV/atom: 0
DFT total energy, eV per formula unit: -144.4

abc: 2.915 4.603 8.114
angles: 90.00 90.09 90.00
Fractional coordinates of all 4 atoms:
K 0.000 0.000 0.000
In 0.498 0.000 0.385
In 0.500 0.500 0.687
Re 0.998 0.500 0.396

=====

No. 5
VASP calculation (SCAN) on a PBEsol-optimized structure of KTiIn2Re.

Calculated values
ΔE_f, eV/atom: 2.45
DFT total energy, eV per formula unit: -150.0

abc: 5.199 5.199 4.549
angles: 90.00 90.00 90.00
Fractional coordinates of all 5 atoms:
K 0.000 0.000 0.000
Ti 0.500 0.500 0.500
In 0.000 0.500 0.000
In 0.500 0.000 0.000
Re 0.000 0.000 0.500

=====

No. 6
VASP calculation (SCAN) on a PBEsol-optimized structure of KInRh2.

Calculated values
ΔE_f, eV/atom: 0.21
DFT total energy, eV per formula unit: -108.4

abc: 3.200 3.200 7.642
angles: 90.00 90.00 90.00
Fractional coordinates of all 4 atoms:
K 0.000 0.000 0.000
In 0.000 0.000 0.500
Rh 0.500 0.500 0.309
Rh 0.500 0.500 0.691

=====

No. 7
VASP calculation (SCAN) on a PBEsol-optimized structure of KInRh2.

Calculated values
ΔE_f, eV/atom: 0.20
DFT total energy, eV per formula unit: -108.5

abc: 2.931 2.931 9.099
angles: 90.00 90.00 90.00
Fractional coordinates of all 4 atoms:
K 0.000 0.000 0.000
In 0.500 0.500 0.669
Rh 0.000 0.000 0.453
Rh 0.500 0.500 0.284

=====

No. 8
VASP calculation (SCAN) on a PBEsol-optimized structure of KInRu2.

Calculated values
ΔE_f, eV/atom: 0.83
DFT total energy, eV per formula unit: -108.1

abc: 2.839 2.839 9.386
angles: 90.00 90.00 90.00
Fractional coordinates of all 4 atoms:
K 0.000 0.000 0.000
In 0.000 0.000 0.500
Ru 0.500 0.500 0.291
Ru 0.500 0.500 0.709

=====

No. 9
VASP calculation (SCAN) on a PBEsol-optimized structure of KInRu2.

Calculated values
ΔE_f, eV/atom: 1.09
DFT total energy, eV per formula unit: -107.0

abc: 5.497 5.497 2.602
angles: 90.00 90.00 114.01
Fractional coordinates of all 4 atoms:
K 0.000 0.000 0.000
In 0.500 0.500 0.000
Ru 0.000 0.500 0.500
Ru 0.500 0.000 0.500

=====

No. 10
VASP calculation (SCAN) on a PBEsol-optimized structure of KInRu2.

Calculated values
ΔE_f, eV/atom: 1.04
DFT total energy, eV per formula unit: -107.2

abc: 4.647 4.647 4.647
angles: 60.00 60.00 60.00
Fractional coordinates of all 4 atoms:
K 0.000 0.000 0.000
In 0.750 0.750 0.750
Ru 0.250 0.250 0.250
Ru 0.500 0.500 0.500

=====

No. 11
VASP calculation (SCAN) on a PBEsol-optimized structure of KInRu2.

Calculated values
ΔE_f, eV/atom: 0.40
DFT total energy, eV per formula unit: -109.8

abc: 2.910 2.910 9.300
angles: 90.00 90.00 90.00
Fractional coordinates of all 4 atoms:
K 0.000 0.000 0.000
In 0.500 0.500 0.673
Ru 0.000 0.000 0.449
Ru 0.500 0.500 0.293

=====

No. 12
VASP calculation (SCAN) on a PBEsol-optimized structure of KInRu2.

Calculated values
ΔE_f, eV/atom: 1.07
DFT total energy, eV per formula unit: -107.1

abc: 2.929 4.845 5.042
angles: 90.00 90.00 90.00
Fractional coordinates of all 4 atoms:
K 0.000 0.000 0.000
In 0.500 0.000 0.500
Ru 0.000 0.500 0.500
Ru 0.500 0.500 0.000

=====

No. 13
VASP calculation (SCAN) on a PBEsol-optimized structure of KIn5S8.

Calculated values
DFT total energy, eV per formula unit: -263.7

abc: 9.693 9.693 9.145
angles: 102.77 102.77 22.87
Fractional coordinates of all 14 atoms:
K 0.000 0.000 0.000
In 0.164 0.164 0.396
In 0.230 0.230 0.826
In 0.519 0.519 0.488
In 0.806 0.806 0.150
In 0.873 0.873 0.576
S 0.104 0.104 0.614
S 0.283 0.283 0.338
S 0.355 0.355 0.008
S 0.449 0.449 0.705
S 0.588 0.588 0.268
S 0.683 0.683 0.967
S 0.754 0.754 0.637
S 0.934 0.934 0.359

=====

No. 14
VASP calculation (SCAN) on a PBEsol-optimized structure of KInS2.

Calculated values
DFT total energy, eV per formula unit: -65.3

abc: 6.686 6.686 6.686
angles: 115.18 115.18 98.57
Fractional coordinates of all 8 atoms:
K 0.000 0.000 0.000
K 0.750 0.250 0.500
In 0.250 0.750 0.500
In 0.500 0.500 0.000
S 0.195 0.625 0.070
S 0.375 0.445 0.570
S 0.555 0.125 0.930
S 0.875 0.805 0.430